DFT (PBE) results for BaAu3S after structural relaxation.

The structure in extended XYZ format:
```
5
Lattice="6.165 0.000 0.000 0.000 6.165 0.000 0.000 0.000 6.165" Properties=species:S:1:pos:R:3 pbc="T T T"
S 3.083 3.083 3.083
Au 0.000 3.083 0.000
Au 0.000 0.000 3.083
Au 3.083 0.000 0.000
Ba 0.000 0.000 0.000
```

Properties
The uncorrected energy is -2.13 eV/atom. For the formation energy without anion corrections, the calculation gives 1043 meV/atom. Its energy above the most stable polymorph in this dataset is 1.250 eV per atom.

***

DFT (PBE) results for BiPO3 after structural relaxation.

The structure in extended XYZ format:
```
5
Lattice="-2.222 3.352 1.219 -3.514 -1.811 -1.425 -0.611 -1.773 3.761" Properties=species:S:1:pos:R:3 pbc="T T T"
P -3.174 -0.116 1.778
Bi 0.000 0.000 0.000
O -1.757 -0.906 -0.712
O -0.306 -0.886 1.881
O -1.111 1.676 0.609
```

Properties
The uncorrected energy is -4.63 eV/atom. For the formation energy without anion corrections, the calculation gives 201 meV/atom.